[1]
Computed, not measured: an optimized crystal structure of ZnBi2SbO6 at the PBE level of DFT.

```
data_ZnBi2SbO6
_chemical_formula_sum 'Zn3 Bi6 Sb3 O18'
_symmetry_space_group_name_H-M 'R 3'
_symmetry_Int_Tables_number 146
_symmetry_space_group_name_Hall 'R 3'
_cell_length_a 5.8367
_cell_length_b 5.8367
_cell_length_c 14.7816
_cell_angle_alpha 90.00
_cell_angle_beta 90.00
_cell_angle_gamma 120.00
loop_
_atom_site_label
_atom_site_fract_x
_atom_site_fract_y
_atom_site_fract_z
_atom_site_occupancy
Zn1 0.0000 0.0000 0.0000 1
Bi1 0.0000 0.0000 0.2775 1
Bi2 0.0000 0.0000 0.7800 1
Sb1 0.0000 0.0000 0.4910 1
O1 0.0910 0.3567 0.5566 1
O2 0.0915 0.7290 0.0560 1
```

Properties
**N(E_F)**: 7.0 states/eV per cell
**V**: 436.12 Å³/cell
**Formation energy (no corrections)**: -1.20 eV/atom

***

[2]
Computed, not measured: an optimized crystal structure of ScBiO3 at the PBE level of DFT.

```
data_ScBiO3
_chemical_formula_sum 'Sc6 Bi6 O18'
_symmetry_space_group_name_H-M 'R -3'
_symmetry_Int_Tables_number 148
_symmetry_space_group_name_Hall '-R 3'
_cell_length_a 5.7184
_cell_length_b 5.7184
_cell_length_c 15.0802
_cell_angle_alpha 90.00
_cell_angle_beta 90.00
_cell_angle_gamma 120.00
loop_
_atom_site_label
_atom_site_fract_x
_atom_site_fract_y
_atom_site_fract_z
_atom_site_occupancy
Sc1 0.0000 0.0000 0.1481 1
Bi1 0.0000 0.0000 0.3616 1
O1 0.0265 0.4019 0.4206 1
```

Properties
**N(E_F)**: 0.0 states/eV per cell
**V**: 427.08 Å³/cell
**Formation energy (no corrections)**: -2.31 eV/atom

***

[3]
Computed, not measured: an optimized crystal structure of Sc2BiO at the PBE level of DFT.

```
data_Sc2BiO
_chemical_formula_sum 'Sc8 Bi4 O4'
_symmetry_space_group_name_H-M 'I -4 2 d'
_symmetry_Int_Tables_number 122
_symmetry_space_group_name_Hall 'I -4 2bw'
_cell_length_a 6.688
_cell_length_b 6.688
_cell_length_c 7.322
_cell_angle_alpha 90.00
_cell_angle_beta 90.00
_cell_angle_gamma 90.00
loop_
_atom_site_label
_atom_site_fract_x
_atom_site_fract_y
_atom_site_fract_z
_atom_site_occupancy
Sc1 0.126 0.250 0.125 1
Bi1 0.000 0.000 0.500 1
O1 0.000 0.000 0.000 1
```

Properties
**N(E_F)**: 6.7 states/eV per cell
**ΔE to the lowest computed polymorph**: 0.099 eV per atom
**V**: 327.57 Å³/cell
**Formation energy (no corrections)**: -1.71 eV/atom

***

[4]
Computed, not measured: an optimized crystal structure of ScBiO3 at the PBE level of DFT.

```
data_ScBiO3
_chemical_formula_sum 'Sc8 Bi8 O24'
_symmetry_space_group_name_H-M 'C 1 2/c 1'
_symmetry_Int_Tables_number 15
_symmetry_space_group_name_Hall '-C 2yc'
_cell_length_a 9.982
_cell_length_b 5.894
_cell_length_c 10.144
_cell_angle_alpha 90.00
_cell_angle_beta 108.98
_cell_angle_gamma 90.00
loop_
_atom_site_label
_atom_site_fract_x
_atom_site_fract_y
_atom_site_fract_z
_atom_site_occupancy
Sc1 0.000 0.248 0.250 1
Sc2 0.250 0.250 0.000 1
Bi1 0.136 0.182 0.633 1
O1 0.079 0.186 0.080 1
O2 0.149 0.027 0.835 1
O3 0.158 0.469 0.366 1
```

Properties
**N(E_F)**: 0.0 states/eV per cell
**V**: 564.42 Å³/cell
**Formation energy (no corrections)**: -2.35 eV/atom

***

[5]
Computed, not measured: an optimized crystal structure of ScBiO3 at the PBE level of DFT.

```
data_ScBiO3
_chemical_formula_sum 'Sc4 Bi4 O12'
_symmetry_space_group_name_H-M 'P 1 21/c 1'
_symmetry_Int_Tables_number 14
_symmetry_space_group_name_Hall '-P 2ybc'
_cell_length_a 6.676
_cell_length_b 5.650
_cell_length_c 7.709
_cell_angle_alpha 90.00
_cell_angle_beta 98.89
_cell_angle_gamma 90.00
loop_
_atom_site_label
_atom_site_fract_x
_atom_site_fract_y
_atom_site_fract_z
_atom_site_occupancy
Sc1 0.077 0.242 0.431 1
Bi1 0.354 0.714 0.354 1
O1 0.005 0.092 0.168 1
O2 0.208 0.579 0.050 1
O3 0.374 0.161 0.918 1
```

Properties
**N(E_F)**: 0.0 states/eV per cell
**V**: 287.31 Å³/cell
**Formation energy (no corrections)**: -2.33 eV/atom

***

[6]
Computed, not measured: an optimized crystal structure of Sc2Bi2O7 at the PBE level of DFT.

```
data_Sc2Bi2O7
_chemical_formula_sum 'Sc4 Bi4 O14'
_symmetry_space_group_name_H-M 'C 1 m 1'
_symmetry_Int_Tables_number 8
_symmetry_space_group_name_Hall 'C -2y'
_cell_length_a 7.068
_cell_length_b 7.756
_cell_length_c 5.200
_cell_angle_alpha 90.00
_cell_angle_beta 99.59
_cell_angle_gamma 90.00
loop_
_atom_site_label
_atom_site_fract_x
_atom_site_fract_y
_atom_site_fract_z
_atom_site_occupancy
Sc1 0.000 0.230 0.000 1
Bi1 0.266 0.500 0.457 1
Bi2 0.273 0.000 0.508 1
O1 0.008 0.000 0.227 1
O2 0.018 0.500 0.138 1
O3 0.031 0.000 0.745 1
O4 0.211 0.304 0.740 1
O5 0.279 0.242 0.251 1
```

Properties
**V**: 281.07 Å³/cell
**Formation energy (no corrections)**: -2.03 eV/atom

***

[7]
Computed, not measured: an optimized crystal structure of Sc2BiO2 at the PBE level of DFT.

```
data_Sc2BiO2
_chemical_formula_sum 'Sc4 Bi2 O4'
_symmetry_space_group_name_H-M 'I 4/m m m'
_symmetry_Int_Tables_number 139
_symmetry_space_group_name_Hall '-I 4 2'
_cell_length_a 3.686
_cell_length_b 3.686
_cell_length_c 12.912
_cell_angle_alpha 90.00
_cell_angle_beta 90.00
_cell_angle_gamma 90.00
loop_
_atom_site_label
_atom_site_fract_x
_atom_site_fract_y
_atom_site_fract_z
_atom_site_occupancy
Sc1 0.000 0.000 0.174 1
Bi1 0.000 0.000 0.500 1
O1 0.000 0.500 0.250 1
```

Properties
**N(E_F)**: 1.3 states/eV per cell
**ΔE to the lowest computed polymorph**: 0.000 eV per atom
**V**: 175.46 Å³/cell
**Formation energy (no corrections)**: -2.53 eV/atom

***

[8]
Computed, not measured: an optimized crystal structure of ScBiO3 at the PBE level of DFT.

```
data_ScBiO3
_chemical_formula_sum 'Sc4 Bi4 O12'
_symmetry_space_group_name_H-M 'C 1 2/m 1'
_symmetry_Int_Tables_number 12
_symmetry_space_group_name_Hall '-C 2y'
_cell_length_a 11.318
_cell_length_b 3.957
_cell_length_c 6.591
_cell_angle_alpha 90.00
_cell_angle_beta 96.34
_cell_angle_gamma 90.00
loop_
_atom_site_label
_atom_site_fract_x
_atom_site_fract_y
_atom_site_fract_z
_atom_site_occupancy
Sc1 0.133 0.000 0.420 1
Bi1 0.126 0.500 0.856 1
O1 0.048 0.000 0.699 1
O2 0.167 0.500 0.515 1
O3 0.182 0.000 0.119 1
```

Properties
**N(E_F)**: 0.0 states/eV per cell
**V**: 293.35 Å³/cell
**Formation energy (no corrections)**: -2.35 eV/atom

***

[9]
Computed, not measured: an optimized crystal structure of Sc5Bi4O at the PBE level of DFT.

```
data_Sc5Bi4O
_chemical_formula_sum 'Sc10 Bi8 O2'
_symmetry_space_group_name_H-M 'I 4'
_symmetry_Int_Tables_number 79
_symmetry_space_group_name_Hall 'I 4'
_cell_length_a 9.019
_cell_length_b 9.019
_cell_length_c 6.023
_cell_angle_alpha 90.00
_cell_angle_beta 90.00
_cell_angle_gamma 90.00
loop_
_atom_site_label
_atom_site_fract_x
_atom_site_fract_y
_atom_site_fract_z
_atom_site_occupancy
Sc1 0.000 0.000 0.000 1
Sc2 0.100 0.752 0.602 1
Bi1 0.080 0.690 0.104 1
O1 0.000 0.000 0.659 1
```

Properties
**N(E_F)**: 9.7 states/eV per cell
**V**: 489.92 Å³/cell
**Formation energy (no corrections)**: -0.93 eV/atom

***

[10]
Computed, not measured: an optimized crystal structure of Sc2BiO at the PBE level of DFT.

```
data_Sc2BiO
_chemical_formula_sum 'Sc4 Bi2 O2'
_symmetry_space_group_name_H-M 'P 4/n m m'
_symmetry_Int_Tables_number 129
_cell_length_a 4.254
_cell_length_b 4.254
_cell_length_c 8.449
_cell_angle_alpha 90.00
_cell_angle_beta 90.00
_cell_angle_gamma 90.00
loop_
_symmetry_equiv_pos_as_xyz
'x,y,z'
'-x,-y,-z'
'-y+1/2,x,z'
'y+1/2,-x,-z'
'-x+1/2,-y+1/2,z'
'x+1/2,y+1/2,-z'
'y,-x+1/2,z'
'-y,x+1/2,-z'
'x+1/2,-y,-z'
'-x+1/2,y,z'
'-y,-x,-z'
'y,x,z'
'-x,y+1/2,-z'
'x,-y+1/2,z'
'y+1/2,x+1/2,-z'
'-y+1/2,-x+1/2,z'
loop_
_atom_site_label
_atom_site_fract_x
_atom_site_fract_y
_atom_site_fract_z
_atom_site_occupancy
Sc1 0.250 0.250 0.175 1
Sc2 0.250 0.750 0.500 1
Bi1 0.250 0.250 0.814 1
O1 0.250 0.250 0.433 1
```

Properties
**N(E_F)**: 4.7 states/eV per cell
**ΔE to the lowest computed polymorph**: 0.000 eV per atom
**V**: 152.94 Å³/cell
**Formation energy (no corrections)**: -1.81 eV/atom

***

[11]
Computed, not measured: an optimized crystal structure of Sc2BiO2 at the PBE level of DFT.

```
data_Sc2BiO2
_chemical_formula_sum 'Sc4 Bi2 O4'
_symmetry_space_group_name_H-M 'P 4/m b m'
_symmetry_Int_Tables_number 127
_symmetry_space_group_name_Hall '-P 4 2ab'
_cell_length_a 7.508
_cell_length_b 7.508
_cell_length_c 2.994
_cell_angle_alpha 90.00
_cell_angle_beta 90.00
_cell_angle_gamma 90.00
loop_
_atom_site_label
_atom_site_fract_x
_atom_site_fract_y
_atom_site_fract_z
_atom_site_occupancy
Sc1 0.124 0.376 0.000 1
Bi1 0.000 0.000 0.000 1
O1 0.108 0.608 0.500 1
```

Properties
**N(E_F)**: 4.5 states/eV per cell
**ΔE to the lowest computed polymorph**: 1.033 eV per atom
**V**: 168.77 Å³/cell
**Formation energy (no corrections)**: -1.50 eV/atom

***

[12]
Computed, not measured: an optimized crystal structure of Sc12Bi3O5 at the PBE level of DFT.

```
data_Sc12Bi3O5
_chemical_formula_sum 'Sc96 Bi24 O40'
_symmetry_space_group_name_H-M 'I a -3 d'
_symmetry_Int_Tables_number 230
_symmetry_space_group_name_Hall '-I 4bd 2c 3'
_cell_length_a 14.694
_cell_length_b 14.694
_cell_length_c 14.694
_cell_angle_alpha 90.00
_cell_angle_beta 90.00
_cell_angle_gamma 90.00
loop_
_atom_site_label
_atom_site_fract_x
_atom_site_fract_y
_atom_site_fract_z
_atom_site_occupancy
Sc1 0.043 0.145 0.955 1
Bi1 0.000 0.250 0.125 1
O1 0.000 0.000 0.000 1
O2 0.000 0.250 0.375 1
```

Properties
**N(E_F)**: 120.2 states/eV per cell
**V**: 3172.48 Å³/cell
**Formation energy (no corrections)**: -1.59 eV/atom

***

[13]
Computed, not measured: an optimized crystal structure of ScBi3O7 at the PBE level of DFT.

```
data_ScBi3O7
_chemical_formula_sum 'Sc4 Bi12 O28'
_symmetry_space_group_name_H-M 'C 2 2 21'
_symmetry_Int_Tables_number 20
_symmetry_space_group_name_Hall 'C 2c 2'
_cell_length_a 7.851
_cell_length_b 10.697
_cell_length_c 7.639
_cell_angle_alpha 90.00
_cell_angle_beta 90.00
_cell_angle_gamma 90.00
loop_
_atom_site_label
_atom_site_fract_x
_atom_site_fract_y
_atom_site_fract_z
_atom_site_occupancy
Sc1 0.008 0.000 0.000 1
Bi1 0.041 0.500 0.000 1
Bi2 0.231 0.233 0.237 1
O1 0.000 0.085 0.250 1
O2 0.000 0.352 0.250 1
O3 0.000 0.354 0.750 1
O4 0.195 0.138 0.959 1
O5 0.215 0.116 0.548 1
```

Properties
**N(E_F)**: 10.4 states/eV per cell
**V**: 641.58 Å³/cell
**Formation energy (no corrections)**: -1.59 eV/atom

***

[14]
Computed, not measured: an optimized crystal structure of Sc4Bi3O at the PBE level of DFT.

```
data_Sc4Bi3O
_chemical_formula_sum 'Sc8 Bi6 O2'
_symmetry_space_group_name_H-M 'P m n 21'
_symmetry_Int_Tables_number 31
_symmetry_space_group_name_Hall 'P 2ac -2'
_cell_length_a 11.247
_cell_length_b 5.973
_cell_length_c 5.950
_cell_angle_alpha 90.00
_cell_angle_beta 90.00
_cell_angle_gamma 90.00
loop_
_atom_site_label
_atom_site_fract_x
_atom_site_fract_y
_atom_site_fract_z
_atom_site_occupancy
Sc1 0.000 0.198 0.000 1
Sc2 0.000 0.793 0.374 1
Sc3 0.189 0.199 0.429 1
Bi1 0.000 0.711 0.879 1
Bi2 0.248 0.294 0.924 1
O1 0.000 0.142 0.347 1
```

Properties
**N(E_F)**: 11.8 states/eV per cell
**V**: 399.68 Å³/cell
**Formation energy (no corrections)**: -1.05 eV/atom

***

[15]
Computed, not measured: an optimized crystal structure of ScBiO3 at the PBE level of DFT.

```
data_ScBiO3
_chemical_formula_sum 'Sc4 Bi4 O12'
_symmetry_space_group_name_H-M 'P n m a'
_symmetry_Int_Tables_number 62
_symmetry_space_group_name_Hall '-P 2ac 2n'
_cell_length_a 5.905
_cell_length_b 8.096
_cell_length_c 5.599
_cell_angle_alpha 90.00
_cell_angle_beta 90.00
_cell_angle_gamma 90.00
loop_
_atom_site_label
_atom_site_fract_x
_atom_site_fract_y
_atom_site_fract_z
_atom_site_occupancy
Sc1 0.000 0.000 0.000 1
Bi1 0.045 0.250 0.489 1
O1 0.038 0.750 0.115 1
O2 0.192 0.555 0.684 1
```

Properties
**N(E_F)**: 0.0 states/eV per cell
**V**: 267.64 Å³/cell
**Formation energy (no corrections)**: -2.36 eV/atom

***

[16]
Computed, not measured: an optimized crystal structure of ScBiO3 at the PBE level of DFT.

```
data_ScBiO3
_chemical_formula_sum 'Sc1 Bi1 O3'
_symmetry_space_group_name_H-M 'P m -3 m'
_symmetry_Int_Tables_number 221
_symmetry_space_group_name_Hall '-P 4 2 3'
_cell_length_a 4.034
_cell_length_b 4.034
_cell_length_c 4.034
_cell_angle_alpha 90.00
_cell_angle_beta 90.00
_cell_angle_gamma 90.00
loop_
_atom_site_label
_atom_site_fract_x
_atom_site_fract_y
_atom_site_fract_z
_atom_site_occupancy
Sc1 0.000 0.000 0.000 1
Bi1 0.500 0.500 0.500 1
O1 0.000 0.000 0.500 1
```

Properties
**N(E_F)**: 0.0 states/eV per cell
**V**: 65.66 Å³/cell
**Formation energy (no corrections)**: -2.02 eV/atom